# 1
The following is a DFT calculation (PBE) of an optimized crystal structure of Sr2NdMg.

Properties
Excess energy over the best structure of this formula in the dataset in eV/f.u.: 0.67
Space-group type: R-3m, No. 166
DFT formation energy in kcal/mol of atoms: 6.534
DFT total energy in eV/cell: -8.6
Fermi-level density of states in states/eV per cell: 5.668

Unit cell a=3.7909 b=3.7909 c=13.3165 alpha=81.82 beta=81.82 gamma=60.00
Last column: nearest neighbours and their distance in Å.
Fractional coordinates of all 4 atoms:
Sr 0.0930 0.0930 0.7210  3 Mg 3.64, 1 Nd 3.66, 6 Sr 3.79
Mg 0.5000 0.5000 0.5000  6 Sr 3.64, 6 Mg 3.79
Nd 0.0000 0.0000 0.0000  2 Sr 3.66, 6 Nd 3.79
Sr 0.9070 0.9070 0.2790  3 Mg 3.64, 1 Nd 3.66, 6 Sr 3.79



# 2
The following is a DFT calculation (PBE) of an optimized crystal structure of SrNd2Mg.

Properties
Excess energy over the best structure of this formula in the dataset in eV/f.u.: 0.35
Space-group type: P4/mmm, No. 123
DFT formation energy in kcal/mol of atoms: 2.817
DFT total energy in eV/cell: -12.3
Fermi-level density of states in states/eV per cell: 6.751

Unit cell a=5.3417 b=5.1405 c=5.1405 alpha=90.00 beta=90.00 gamma=90.00
Last column: nearest neighbours and their distance in Å.
Fractional coordinates of all 4 atoms:
Sr 0.5000 0.5000 0.5000  4 Mg 3.63, 8 Nd 3.71
Mg 0.5000 0.0000 0.0000  4 Sr 3.63, 8 Nd 3.71
Nd 0.0000 0.5000 0.0000  4 Nd 3.63, 4 Mg 3.71, 4 Sr 3.71
Nd 0.0000 0.0000 0.5000  4 Nd 3.63, 4 Mg 3.71, 4 Sr 3.71



# 3
The following is a DFT calculation (PBE) of an optimized crystal structure of SrNd5Mg4.

Properties
Space-group type: P4/mmm, No. 123
DFT formation energy in kcal/mol of atoms: -1.142
DFT total energy in eV/cell: -32.4
Fermi-level density of states in states/eV per cell: 13.000

Unit cell a=3.9156 b=3.9156 c=21.0177 alpha=90.00 beta=90.00 gamma=90.00
Last column: nearest neighbours and their distance in Å.
Fractional coordinates of all 10 atoms:
Nd 0.5000 0.5000 0.8626  4 Mg 3.35
Nd 0.5000 0.5000 0.3163  8 Mg 3.35-3.37
Mg 0.0000 0.0000 0.4080  8 Nd 3.37-3.38
Sr 0.0000 0.0000 0.0000  4 Sr 3.92, 8 Nd 4.00
Mg 0.0000 0.0000 0.5920  8 Nd 3.37-3.38
Mg 0.0000 0.0000 0.2268  8 Nd 3.35
Nd 0.5000 0.5000 0.5000  8 Mg 3.38
Nd 0.5000 0.5000 0.1374  4 Mg 3.35
Mg 0.0000 0.0000 0.7732  8 Nd 3.35
Nd 0.5000 0.5000 0.6837  8 Mg 3.35-3.37



# 4
The following is a DFT calculation (PBE) of an optimized crystal structure of SrNd2Mg.

Properties
Excess energy over the best structure of this formula in the dataset in eV/f.u.: 0.38
Space-group type: Fm-3m, No. 225
DFT formation energy in kcal/mol of atoms: 2.953
DFT total energy in eV/cell: -12.3
Fermi-level density of states in states/eV per cell: 4.548

Unit cell a=5.8270 b=5.8270 c=5.8270 alpha=60.00 beta=60.00 gamma=60.00
Last column: nearest neighbours and their distance in Å.
Fractional coordinates of all 4 atoms:
Mg 0.0000 0.0000 0.0000  8 Nd 3.57
Nd 0.2500 0.2500 0.2500  4 Sr 3.57, 4 Mg 3.57
Sr 0.5000 0.5000 0.5000  8 Nd 3.57
Nd 0.7500 0.7500 0.7500  4 Mg 3.57, 4 Sr 3.57